Entry 1:
Entry from Alexandria: a relaxed structure of MnGe4Se5 (PBE).

As for the space group: I4.

Cell: 5.687 6.895 6.895 Å, 80.21 65.64 65.64°
Atoms (fractional coordinates):
Mn1 0.010 0.000 0.000
Ge1 0.415 0.401 0.808
Ge2 0.816 0.808 0.599
Ge3 0.223 0.192 0.401
Ge4 0.624 0.599 0.192
Se1 0.887 0.386 0.808
Se2 0.273 0.808 0.614
Se3 0.695 0.192 0.386
Se4 0.081 0.614 0.192
Se5 0.489 0.000 0.000


Entry 2:
Entry from Alexandria: a relaxed structure of MnGeSe3 (PBE).

As for the space group: P2_1/m.

Cell: 3.675 6.556 9.654 Å, 89.85 90.00 90.00°
Atoms (fractional coordinates):
Mn1 0.750 0.074 0.166
Mn2 0.250 0.926 0.834
Ge1 0.750 0.428 0.813
Ge2 0.250 0.572 0.187
Se1 0.750 0.781 0.989
Se2 0.250 0.219 0.011
Se3 0.750 0.387 0.319
Se4 0.250 0.613 0.681
Se5 0.750 0.083 0.691
Se6 0.250 0.917 0.309


Entry 3:
Entry from Alexandria: a relaxed structure of MnGeSe4 (PBE).

The energy above the most stable polymorph in this dataset is 0 meV per atom. As for the space group: P2/m.

Cell: 3.500 6.345 7.142 Å, 109.20 90.00 90.00°
Atoms (fractional coordinates):
Mn1 0.500 0.000 0.500
Ge1 0.000 0.500 0.500
Se1 0.000 0.240 0.712
Se2 0.000 0.760 0.288
Se3 0.500 0.769 0.719
Se4 0.500 0.231 0.281


Entry 4:
Entry from Alexandria: a relaxed structure of MnGeSe2 (PBE).

As for the space group: I-42d.

Cell: 5.902 5.902 6.788 Å, 64.23 64.23 90.00°
Atoms (fractional coordinates):
Ge1 0.000 0.000 0.000
Ge2 0.750 0.250 0.500
Mn1 0.500 0.500 0.000
Mn2 0.250 0.750 0.500
Se1 0.567 0.125 0.250
Se2 0.183 0.625 0.250
Se3 0.375 0.433 0.750
Se4 0.875 0.817 0.750


What total energy values result from the calculations? In sequence: -4.75, -5.20, -4.94, -5.05 eV per atom.
What formation energy from raw total energies values result from the calculations? In sequence: -0.25, -0.36, -0.32, 0.14 eV per atom.